No. 1
Sc2PtRh3 (GGA-PBE, relaxed); space-group type = No. 141; magnetization = 0.00 μB/f.u.
1.0
-1.571 0.280 -8.165
-3.666 -7.455 0.450
-2.445 6.142 4.920
Rh Pt Sc
12 4 8
direct
0.307 0.307 0.000
0.307 0.693 0.000
0.557 0.057 0.500
0.693 0.307 0.000
0.125 0.875 0.250
0.557 0.443 0.500
0.693 0.693 0.000
0.943 0.057 0.500
0.625 0.875 0.750
0.125 0.375 0.250
0.943 0.443 0.500
0.125 0.875 0.750
0.309 0.309 0.617
0.691 0.691 0.383
0.559 0.059 0.117
0.941 0.441 0.883
0.954 0.648 0.297
0.908 0.102 0.203
0.342 0.648 0.297
0.296 0.102 0.203
0.352 0.046 0.703
0.898 0.092 0.797
0.352 0.658 0.703
0.898 0.704 0.797

***

No. 2
Sc2Pt3Rh3 (GGA-PBE, relaxed); space-group type = No. 47; magnetization = 0.00 μB/f.u.
1.0
3.995 0.000 0.000
0.000 3.968 0.000
0.000 0.000 7.880
Sc Pt Rh
2 3 3
direct
0.000 0.000 0.253
0.000 0.000 0.747
0.500 0.500 0.252
0.500 0.000 0.000
0.500 0.500 0.748
0.000 0.500 0.000
0.500 0.000 0.500
0.000 0.500 0.500

***

No. 3
ScPtRh2 (GGA-PBE, relaxed); space-group type = No. 99; magnetization = 0.57 μB/f.u.
1.0
2.871 -0.010 0.000
0.009 2.871 0.000
0.000 0.000 7.684
Rh Sc Pt
2 1 1
direct
0.500 0.500 0.245
0.000 0.000 0.008
0.000 0.000 0.495
0.500 0.500 0.752

***

No. 4
Sc2Pt5Rh (GGA-PBE, relaxed); space-group type = No. 55; magnetization = 0.00 μB/f.u.
1.0
-0.658 -2.492 3.026
5.226 0.972 1.936
-3.909 8.600 6.234
Pt Sc Rh
10 4 2
direct
0.500 0.252 0.376
0.000 0.996 0.749
0.000 0.004 0.251
0.500 0.752 0.124
0.000 0.504 0.249
0.000 0.000 0.000
0.500 0.748 0.624
0.000 0.500 0.500
0.000 0.496 0.751
0.500 0.248 0.876
0.500 0.256 0.123
0.500 0.744 0.877
0.500 0.244 0.623
0.500 0.756 0.377
0.000 0.000 0.500
0.000 0.500 0.000

***

No. 5
ScPtRh2 (GGA-PBE, relaxed); space-group type = No. 25; magnetization = 0.00 μB/f.u.
1.0
4.525 0.000 0.000
0.000 2.932 -0.006
0.000 0.010 4.717
Sc Rh Pt
1 2 1
direct
0.000 0.375 0.553
0.500 0.375 0.185
0.000 0.875 0.064
0.500 0.875 0.698

***

No. 6
Sc6PtRh2 (GGA-PBE, relaxed); space-group type = No. 69; magnetization = 2.80 μB/f.u.
1.0
4.457 0.000 1.484
2.229 5.375 0.741
0.001 0.001 7.431
Rh Sc Pt
2 6 1
direct
0.669 0.500 0.163
0.331 0.500 0.837
0.356 0.788 0.500
0.024 0.787 0.165
0.644 0.212 0.500
0.976 0.213 0.835
0.311 0.213 0.165
0.689 0.787 0.835
0.000 0.500 0.500

***

No. 7
ScPtRh2 (GGA-PBE, relaxed); space-group type = No. 99; magnetization = 0.00 μB/f.u.
1.0
3.374 0.000 0.000
0.000 3.374 0.000
0.000 0.000 5.659
Rh Pt Sc
2 1 1
direct
0.000 0.000 0.019
0.500 0.500 0.229
0.500 0.500 0.753
0.000 0.000 0.499

***

No. 8
ScPtRh2 (GGA-PBE, relaxed); space-group type = No. 225; magnetization = 1.00 μB/f.u.
1.0
0.331 1.275 4.285
-2.832 -1.655 3.056
1.477 -2.891 3.091
Pt Rh Sc
1 2 1
direct
0.500 0.500 0.500
0.750 0.750 0.750
0.250 0.250 0.250
0.000 0.000 0.000

***

No. 9
ScPtRh3 (GGA-PBE, relaxed); space-group type = No. 221; magnetization = 2.06 μB/f.u.; relative energy among the computed polymorphs = 1.453 eV per atom
1.0
4.559 0.000 0.000
0.000 4.559 0.000
0.000 0.000 4.559
Rh Sc Pt
3 1 1
direct
0.500 0.000 0.000
0.000 0.500 0.000
0.000 0.000 0.500
0.000 0.000 0.000
0.500 0.500 0.500

***

No. 10
Sc4PtRh7 (GGA-PBE, relaxed); space-group type = No. 2; magnetization = 0.00 μB/f.u.
1.0
5.170 1.428 1.434
4.629 7.713 2.134
0.821 1.194 6.171
Sc Rh Pt
4 7 1
direct
0.532 0.305 0.651
0.706 0.690 0.797
0.468 0.695 0.349
0.294 0.310 0.203
0.500 0.000 0.000
0.239 0.015 0.487
0.000 0.323 0.684
0.000 0.677 0.316
0.230 0.654 0.849
0.770 0.346 0.151
0.761 0.985 0.513
0.000 0.000 0.000

***

No. 11
Sc4Pt5Rh (GGA-PBE, relaxed); space-group type = No. 12; magnetization = 0.00 μB/f.u.
1.0
4.075 0.000 -1.397
-0.677 5.260 -1.975
0.454 -0.471 7.965
Sc Pt Rh
4 5 1
direct
0.695 0.274 0.390
0.915 0.162 0.830
0.305 0.726 0.610
0.085 0.838 0.170
0.296 0.205 0.591
0.500 0.500 0.000
0.704 0.795 0.409
0.111 0.378 0.222
0.889 0.622 0.778
0.500 0.000 0.000

***

No. 12
ScPtRh2 (GGA-PBE, relaxed); space-group type = No. 119; magnetization = 0.00 μB/f.u.
1.0
4.864 0.004 0.000
1.625 4.585 0.000
-3.245 -2.294 2.805
Sc Rh Pt
1 2 1
direct
0.500 0.500 0.000
0.000 0.000 0.000
0.250 0.750 0.500
0.750 0.250 0.500

***

No. 13
ScPtRh2 (GGA-PBE, relaxed); space-group type = No. 12; magnetization = 0.00 μB/f.u.
1.0
-1.033 2.655 -3.921
-2.052 -0.016 -4.391
-4.424 1.500 1.064
Rh Pt Sc
2 1 1
direct
0.502 0.502 0.505
0.998 0.998 0.995
0.750 0.750 0.750
0.250 0.250 0.250

***

No. 14
ScPtRh2 (GGA-PBE, relaxed); space-group type = No. 8; magnetization = 0.00 μB/f.u.
1.0
-3.195 0.128 -3.689
-4.097 -1.915 -1.840
-3.245 2.992 1.722
Rh Sc Pt
2 1 1
direct
0.002 0.002 0.991
0.749 0.749 0.760
0.499 0.499 0.500
0.251 0.251 0.249

***

No. 15
Sc5Pt4Rh (GGA-PBE, relaxed); space-group type = No. 123; magnetization = 0.00 μB/f.u.
1.0
3.240 0.000 0.000
0.000 3.240 0.000
0.000 0.000 16.886
Pt Sc Rh
4 5 1
direct
0.000 0.000 0.601
0.000 0.000 0.803
0.000 0.000 0.399
0.000 0.000 0.197
0.500 0.500 0.298
0.500 0.500 0.096
0.500 0.500 0.702
0.500 0.500 0.904
0.500 0.500 0.500
0.000 0.000 0.000

***

No. 16
Sc5Sn2Pt2Rh (GGA-PBE, relaxed); space-group type = No. 127; magnetization = 0.00 μB/f.u.
1.0
3.276 0.000 0.000
0.000 11.268 0.000
0.000 0.000 11.268
Sc Rh Pt Sn
10 2 4 4
direct
0.500 0.691 0.439
0.500 0.309 0.561
0.500 0.000 0.500
0.500 0.809 0.939
0.500 0.439 0.309
0.500 0.061 0.809
0.500 0.191 0.061
0.500 0.561 0.691
0.500 0.500 0.000
0.500 0.939 0.191
0.000 0.500 0.500
0.000 0.000 0.000
0.000 0.634 0.866
0.000 0.866 0.366
0.000 0.134 0.634
0.000 0.366 0.134
0.000 0.176 0.324
0.000 0.676 0.176
0.000 0.324 0.824
0.000 0.824 0.676

***

No. 17
ScSnPtRh2 (GGA-PBE, relaxed); space-group type = No. 123; magnetization = 0.00 μB/f.u.
1.0
4.748 0.000 0.000
0.000 5.227 0.000
0.000 0.000 4.748
Sn Rh Pt Sc
1 2 1 1
direct
0.000 0.000 0.000
0.000 0.000 0.500
0.500 0.000 0.000
0.500 0.500 0.500
0.000 0.500 0.000

***

No. 18
ScSnPtRh (GGA-PBE, relaxed); space-group type = No. 216; magnetization = 0.00 μB/f.u.; relative energy among the computed polymorphs = 0.017 eV per atom
1.0
-0.800 -4.038 2.091
0.917 -3.958 -2.194
3.538 -2.632 1.368
Sc Sn Rh Pt
1 1 1 1
direct
0.250 0.250 0.250
0.750 0.750 0.750
0.000 0.000 0.000
0.500 0.500 0.500

***

No. 19
Sc5Sn2PtRh2 (GGA-PBE, relaxed); space-group type = No. 127; magnetization = 0.00 μB/f.u.
1.0
-3.108 0.229 -1.262
2.183 -8.318 -6.886
-3.591 -7.185 7.541
Rh Sc Sn Pt
4 10 4 2
direct
0.000 0.635 0.865
0.000 0.365 0.135
0.000 0.865 0.365
0.000 0.135 0.635
0.500 0.694 0.429
0.500 0.071 0.806
0.500 0.429 0.306
0.500 0.306 0.571
0.500 0.000 0.500
0.500 0.806 0.929
0.500 0.571 0.694
0.500 0.929 0.194
0.500 0.500 0.000
0.500 0.194 0.071
0.000 0.828 0.672
0.000 0.172 0.328
0.000 0.672 0.172
0.000 0.328 0.828
0.000 0.500 0.500
0.000 0.000 0.000

***

No. 20
ScSnPtRh (GGA-PBE, relaxed); space-group type = No. 119; magnetization = 0.00 μB/f.u.; relative energy among the computed polymorphs = 0.000 eV per atom
1.0
4.242 0.000 0.000
0.000 4.242 0.000
-2.121 -2.121 3.825
Pt Sn Rh Sc
1 1 1 1
direct
0.750 0.250 0.500
0.500 0.500 0.000
0.250 0.750 0.500
0.000 0.000 0.000

***

No. 21
Sr2ScPtRh (GGA-PBE, relaxed); space-group type = No. 123; magnetization = 0.00 μB/f.u.
1.0
-1.763 -4.950 -3.094
3.952 -0.160 -1.996
2.118 -3.554 4.480
Sr Rh Pt Sc
2 1 1 1
direct
0.500 0.000 0.000
0.000 0.000 0.500
0.000 0.500 0.000
0.500 0.500 0.500
0.000 0.000 0.000

***

No. 22
TbScPtRh (GGA-PBE, relaxed); space-group type = No. 99; magnetization = 0.00 μB/f.u.; relative energy among the computed polymorphs = 0.000 eV per atom
1.0
3.356 0.000 0.000
0.000 3.356 0.000
0.000 0.000 6.802
Pt Tb Rh Sc
1 1 1 1
direct
0.000 0.000 0.836
0.500 0.500 0.113
0.000 0.000 0.378
0.500 0.500 0.601

***

No. 23
TbScPtRh (GGA-PBE, relaxed); space-group type = No. 216; magnetization = 0.00 μB/f.u.; relative energy among the computed polymorphs = 0.030 eV per atom
1.0
-4.751 -0.467 0.082
-2.444 -0.267 -4.094
-2.017 -4.124 -1.312
Pt Rh Sc Tb
1 1 1 1
direct
0.750 0.750 0.750
0.250 0.250 0.250
0.500 0.500 0.500
0.000 0.000 0.000

***

No. 24
ThScPtRh (GGA-PBE, relaxed); space-group type = No. 216; magnetization = 0.00 μB/f.u.
1.0
4.903 0.000 0.000
2.451 4.246 0.000
2.451 1.415 4.003
Th Rh Pt Sc
1 1 1 1
direct
0.000 0.000 0.000
0.250 0.250 0.250
0.750 0.750 0.750
0.500 0.500 0.500

***

No. 25
YScPtRh (GGA-PBE, relaxed); space-group type = No. 99; magnetization = 0.00 μB/f.u.
1.0
-0.946 -2.876 1.440
-1.280 -1.040 -2.919
5.985 -2.786 -1.632
Y Pt Sc Rh
1 1 1 1
direct
0.500 0.500 0.112
0.000 0.000 0.836
0.500 0.500 0.601
0.000 0.000 0.378

***

One value per record, in order, for DOS(E_F): 23.46, 8.32, 5.02, 11.55, 4.16, 9.32, 3.36, 5.77, 8.71, 11.18, 3.75, 4.60, 4.39, 4.58, 5.82, 13.64, 3.72, 3.05, 11.84, 1.24, 4.57, 1.94, 1.29, 5.21, 1.98 states/eV/cell.
One value per record, in order, for final energy: -7.313, -7.455, -7.210, -7.274, -7.389, -7.211, -7.276, -7.264, -5.910, -7.570, -7.412, -7.443, -7.331, -7.340, -7.511, -6.751, -5.300, -6.803, -6.847, -6.821, -4.086, -7.152, -7.122, -7.709, -7.612 eV per atom.
One value per record, in order, for formation enthalpy at 0 K: -0.520, -0.850, -0.442, -0.996, -0.621, -0.685, -0.507, -0.496, 0.975, -0.667, -1.124, -0.674, -0.562, -0.572, -1.194, -0.842, 0.915, -0.872, -0.807, -0.889, 0.531, -1.063, -1.033, -0.923, -1.065 eV/atom.